Here is crystalline RbHgF3 at its relaxed geometry from the Alexandria database. Energies are from GGA-PBE.

As for the density: 6.0 Mg/m³. Its density of states at the Fermi level is 0.00 states/eV per atom. Its total magnetization is 0.00 μB/atom. The calculation puts the uncorrected formation energy at -1.960 eV/atom.

Unit cell a=20.8344 b=5.9617 c=8.2536 alpha=90.00 beta=158.16 gamma=90.00
Fractional coordinates of all 20 atoms:
Hg 0.1179 0.2501 0.6179
Hg 0.8821 0.7499 0.3821
Hg 0.3821 0.7501 0.8821
Hg 0.6179 0.2499 0.1179
F 0.5412 0.7501 0.0413
F 0.1188 0.7500 0.1188
F 0.7500 0.5000 0.2500
F 0.4588 0.2499 0.9587
F 0.3812 0.2500 0.3812
F 0.2500 0.5000 0.7500
F 0.7500 0.0000 0.2500
F 0.2500 0.0000 0.7500
F 0.0412 0.7499 0.5413
F 0.8812 0.2500 0.8812
F 0.6188 0.7500 0.6188
F 0.9588 0.2501 0.4587
Rb 0.4012 0.7500 0.4014
Rb 0.0988 0.2500 0.0986
Rb 0.9012 0.7500 0.9014
Rb 0.5988 0.2500 0.5986

Here is crystalline Rb2Hg2F5 at its relaxed geometry from the Alexandria database. Energies are from GGA-PBE.

As for the density: 6.4 Mg/m³. Its density of states at the Fermi level is 0.23 states/eV per atom. Its total magnetization is 0.00 μB/atom. The calculation puts the uncorrected formation energy at -1.902 eV/atom.

Unit cell a=4.8063 b=4.8063 c=7.4995 alpha=90.00 beta=90.00 gamma=90.00
Fractional coordinates of all 9 atoms:
Hg 0.5000 0.5000 0.1924
Hg 0.5000 0.5000 0.8076
F 0.0000 0.5000 0.2183
F 0.0000 0.5000 0.7817
F 0.5000 0.5000 0.5000
F 0.5000 0.0000 0.2183
F 0.5000 0.0000 0.7817
Rb 0.0000 0.0000 0.0000
Rb 0.0000 0.0000 0.5000

Here is crystalline RbHgF3 at its relaxed geometry from the Alexandria database. Energies are from GGA-PBE.

As for the density: 6.0 Mg/m³. Its density of states at the Fermi level is 0.00 states/eV per atom. Its total magnetization is 0.00 μB/atom. The calculation puts the uncorrected formation energy at -1.957 eV/atom.

Unit cell a=11.3353 b=7.4942 c=7.4942 alpha=72.49 beta=117.53 gamma=62.47
Fractional coordinates of all 20 atoms:
Hg 0.2500 0.4677 0.9677
Hg 0.7500 0.0325 0.5325
Hg 0.7500 0.5323 0.0323
Hg 0.2500 0.9675 0.4675
F 0.0417 0.8705 0.8710
F 0.3157 0.6065 0.7377
F 0.1843 0.2377 0.1065
F 0.5417 0.6290 0.6295
F 0.4584 0.9537 0.7875
F 0.9583 0.1295 0.1290
F 0.9584 0.7125 0.5463
F 0.4583 0.3710 0.3705
F 0.5416 0.0463 0.2125
F 0.6843 0.3935 0.2623
F 0.0416 0.2875 0.4537
F 0.8157 0.7623 0.8935
Rb 0.6500 0.1438 0.9440
Rb 0.1500 0.5560 0.3562
Rb 0.8500 0.4440 0.6438
Rb 0.3500 0.8562 0.0560